Density functional theory data (PBE-GGA) for a relaxed structure of ZrAl2Cu.

abc: 3.014 4.199 5.554
angles: 90.00 105.47 90.00
Space group Pm (No. 6)
Inequivalent atoms, fractional coordinates:
Zr  0.000  0.000  0.000
Al  0.263  0.000  0.521
Al  0.648  0.500  0.297
Cu  0.389  0.500  0.767

energy of formation	-0.22	eV/atom

Density functional theory data (PBE-GGA) for a relaxed structure of LaUTeN2.

abc: 3.958 3.958 13.150
angles: 90.00 90.00 90.00
Space group I4mm (No. 107)
Inequivalent atoms, fractional coordinates:
La  0.000  0.000  0.000
U  0.000  0.000  0.321
Te  0.000  0.000  0.666
N  0.000  0.500  0.393

raw formation energy	-1.498	eV per atom

Spin magnetization list, top to bottom, in μB per cell: 0.0, 2.0